LiVAs2: relaxed, PBE.

```
LiVAs2
1.0
-0.9717 -0.8759 -2.8969
-2.8720 -1.3064 -0.3855
-4.2917 6.2120 -2.1826
V As Li
1 2 1
Cartesian
-2.5720 -1.4328 -2.1917 V
-3.6184 4.6601 -1.9392 As
-1.9649 0.8485 -1.3413 As
-4.0476 1.9687 -2.7253 Li
```

- Magnetic moment: 0.0 Bohr magnetons per cell
- Polymorph energy (0 for the lowest one): 3 meV/atom
- Calculated volume: 66.9 Å³ per cell